# 1
The following is a PBE calculation of a relaxed Cs2ReC crystal, from the Alexandria database.

* formation energy from the elements: 1.117 eV/atom
* total magnetization: 1.34 μB/f.u.
* SG: I-42d (122)

Cell lengths 9.2461, 9.2461, 9.2461 Å; angles 92.62, 92.62, 155.29 degrees
Atoms (fractional coordinates):
Cs: 0.3750 0.1906 0.3156
Cs: 0.8094 0.1250 0.1844
Cs: 0.8750 0.0594 0.6844
Cs: 0.9406 0.6250 0.8156
Re: 0.2500 0.7500 0.5000
Re: 0.5000 0.5000 0.0000
C: 0.0000 0.0000 0.0000
C: 0.7500 0.2500 0.5000



# 2
The following is a PBE calculation of a relaxed CsReC3 crystal, from the Alexandria database.

* formation energy from the elements: 1.657 eV/atom
* total magnetization: 1.58 μB/f.u.
* distance to the lowest polymorph of the same formula: 0.000 kcal/mol of atoms
* SG: Pm-3m (221)

Cell lengths 4.2216, 4.2216, 4.2216 Å; angles 90.00, 90.00, 90.00 degrees
Atoms (fractional coordinates):
Cs: 0.0000 0.0000 0.0000
Re: 0.5000 0.5000 0.5000
C: 0.0000 0.5000 0.5000
C: 0.5000 0.0000 0.5000
C: 0.5000 0.5000 0.0000



# 3
The following is a PBE calculation of a relaxed CsReC3 crystal, from the Alexandria database.

* formation energy from the elements: 4.904 eV/atom
* total magnetization: 0.00 μB/f.u.
* distance to the lowest polymorph of the same formula: 74.881 kcal/mol of atoms
* SG: Pm-3m (221)

Cell lengths 4.2546, 4.2546, 4.2546 Å; angles 90.00, 90.00, 90.00 degrees
Atoms (fractional coordinates):
Cs: 0.0000 0.0000 0.0000
Re: 0.5000 0.5000 0.5000
C: 0.0000 0.0000 0.5000
C: 0.0000 0.5000 0.0000
C: 0.5000 0.0000 0.0000



# 4
The following is a PBE calculation of a relaxed Cs3ReC crystal, from the Alexandria database.

* formation energy from the elements: 2.345 eV/atom
* total magnetization: 3.31 μB/f.u.
* SG: Pm-3m (221)

Cell lengths 5.9827, 5.9827, 5.9827 Å; angles 90.00, 90.00, 90.00 degrees
Atoms (fractional coordinates):
Cs: 0.0000 0.0000 0.5000
Cs: 0.0000 0.5000 0.0000
Cs: 0.5000 0.0000 0.0000
Re: 0.0000 0.0000 0.0000
C: 0.5000 0.5000 0.5000



# 5
The following is a PBE calculation of a relaxed CsRhC2 crystal, from the Alexandria database.

* formation energy from the elements: 2.938 eV/atom
* total magnetization: 0.00 μB/f.u.
* distance to the lowest polymorph of the same formula: 46.810 kcal/mol of atoms
* SG: Fm-3m (225)

Cell lengths 4.4307, 4.4307, 4.4307 Å; angles 60.00, 60.00, 60.00 degrees
Atoms (fractional coordinates):
Cs: 0.0000 0.0000 0.0000
Rh: 0.5000 0.5000 0.5000
C: 0.2500 0.2500 0.2500
C: 0.7500 0.7500 0.7500



# 6
The following is a PBE calculation of a relaxed Cs2RhC crystal, from the Alexandria database.

* formation energy from the elements: 1.921 eV/atom
* total magnetization: 3.00 μB/f.u.
* SG: I-42d (122)

Cell lengths 7.0701, 7.0701, 7.0701 Å; angles 112.79, 112.79, 103.02 degrees
Atoms (fractional coordinates):
Cs: 0.0855 0.6250 0.9605
Cs: 0.3750 0.3355 0.4605
Cs: 0.6645 0.1250 0.0395
Cs: 0.8750 0.9145 0.5395
Rh: 0.0000 0.0000 0.0000
Rh: 0.7500 0.2500 0.5000
C: 0.2500 0.7500 0.5000
C: 0.5000 0.5000 0.0000



E (eV/cell)
-37.8; -32.7; -16.5; -12.5; -14.9; -21.2